[1]
! Ce12Ga3N5 PBE-GGA optimized geometry; values from VASP
&SYSTEM
  ibrav = 0, nat = 80, ntyp = 3
/
ATOMIC_SPECIES
Ce 140.12 Ce.upf
Ga 69.72 Ga.upf
N 14.01 N.upf
ATOMIC_POSITIONS crystal
Ce 0.017 0.200 0.110
Ce 0.017 0.317 0.907
Ce 0.090 0.700 0.683
Ce 0.090 0.890 0.407
Ce 0.093 0.610 0.410
Ce 0.093 0.983 0.683
Ce 0.110 0.017 0.200
Ce 0.110 0.593 0.910
Ce 0.183 0.200 0.590
Ce 0.183 0.483 0.593
Ce 0.200 0.110 0.017
Ce 0.200 0.590 0.183
Ce 0.300 0.317 0.910
Ce 0.300 0.483 0.390
Ce 0.317 0.907 0.017
Ce 0.317 0.910 0.300
Ce 0.390 0.300 0.483
Ce 0.390 0.590 0.907
Ce 0.407 0.090 0.890
Ce 0.407 0.817 0.517
Ce 0.410 0.093 0.610
Ce 0.410 0.817 0.800
Ce 0.483 0.390 0.300
Ce 0.483 0.593 0.183
Ce 0.517 0.407 0.817
Ce 0.517 0.610 0.700
Ce 0.590 0.183 0.200
Ce 0.590 0.907 0.390
Ce 0.593 0.183 0.483
Ce 0.593 0.910 0.110
Ce 0.610 0.410 0.093
Ce 0.610 0.700 0.517
Ce 0.683 0.090 0.700
Ce 0.683 0.093 0.983
Ce 0.700 0.517 0.610
Ce 0.700 0.683 0.090
Ce 0.800 0.410 0.817
Ce 0.800 0.890 0.983
Ce 0.817 0.517 0.407
Ce 0.817 0.800 0.410
Ce 0.890 0.407 0.090
Ce 0.890 0.983 0.800
Ce 0.907 0.017 0.317
Ce 0.907 0.390 0.590
Ce 0.910 0.110 0.593
Ce 0.910 0.300 0.317
Ce 0.983 0.683 0.093
Ce 0.983 0.800 0.890
Ga 0.125 0.250 0.375
Ga 0.125 0.375 0.750
Ga 0.250 0.375 0.125
Ga 0.250 0.875 0.625
Ga 0.375 0.125 0.250
Ga 0.375 0.750 0.125
Ga 0.625 0.250 0.875
Ga 0.625 0.875 0.750
Ga 0.750 0.125 0.375
Ga 0.750 0.625 0.875
Ga 0.875 0.625 0.250
Ga 0.875 0.750 0.625
N 0.000 0.000 0.000
N 0.000 0.000 0.500
N 0.000 0.500 0.000
N 0.000 0.500 0.500
N 0.125 0.750 0.875
N 0.125 0.875 0.250
N 0.250 0.125 0.875
N 0.250 0.625 0.375
N 0.375 0.250 0.625
N 0.375 0.625 0.750
N 0.500 0.000 0.000
N 0.500 0.000 0.500
N 0.500 0.500 0.000
N 0.500 0.500 0.500
N 0.625 0.375 0.250
N 0.625 0.750 0.375
N 0.750 0.375 0.625
N 0.750 0.875 0.125
N 0.875 0.125 0.750
N 0.875 0.250 0.125
CELL_PARAMETERS angstrom
-7.839 7.839 7.839
7.839 -7.839 7.839
7.839 7.839 -7.839
! ΔE_f (raw) ... -0.7135 eV per atom
! ρ ... 6.76 Mg/m³
! Energy ... -6.809 eV/atom


[2]
! Ce2GaN PBE-GGA optimized geometry; values from VASP
&SYSTEM
  ibrav = 0, nat = 4, ntyp = 3
/
ATOMIC_SPECIES
Ce 140.12 Ce.upf
Ga 69.72 Ga.upf
N 14.01 N.upf
ATOMIC_POSITIONS crystal
Ce 0.000 0.000 0.194
Ce 0.000 0.000 0.806
Ga 0.500 0.500 0.500
N 0.500 0.500 0.000
CELL_PARAMETERS angstrom
3.084 0.000 0.000
0.000 3.084 0.000
0.000 0.000 7.594
! ΔE_f (raw) ... -0.6681 eV per atom
! ρ ... 8.37 Mg/m³
! Energy ... -6.473 eV/atom


[3]
! Ce2NbGaN5 PBE-GGA optimized geometry; values from VASP
&SYSTEM
  ibrav = 0, nat = 18, ntyp = 4
/
ATOMIC_SPECIES
Ce 140.12 Ce.upf
Nb 92.91 Nb.upf
Ga 69.72 Ga.upf
N 14.01 N.upf
ATOMIC_POSITIONS crystal
Ce 0.120 0.880 0.500
Ce 0.131 0.869 0.079
Ce 0.869 0.131 0.579
Ce 0.880 0.120 0.000
Nb 0.219 0.781 0.798
Nb 0.781 0.219 0.298
Ga 0.487 0.513 0.273
Ga 0.513 0.487 0.773
N 0.059 0.941 0.846
N 0.285 0.715 0.442
N 0.299 0.701 0.159
N 0.363 0.637 0.803
N 0.499 0.501 0.580
N 0.501 0.499 0.080
N 0.637 0.363 0.303
N 0.701 0.299 0.659
N 0.715 0.285 0.942
N 0.941 0.059 0.346
CELL_PARAMETERS angstrom
1.644 -6.864 0.000
1.644 6.864 0.000
0.000 0.000 10.178
! ΔE_f (raw) ... -1.0507 eV per atom
! ρ ... 7.42 Mg/m³
! Energy ... -8.450 eV/atom


[4]
! CeNd2GaN PBE-GGA optimized geometry; values from VASP
&SYSTEM
  ibrav = 0, nat = 5, ntyp = 4
/
ATOMIC_SPECIES
Ce 140.12 Ce.upf
Nd 144.24 Nd.upf
Ga 69.72 Ga.upf
N 14.01 N.upf
ATOMIC_POSITIONS crystal
Ce 0.000 0.000 0.000
Nd 0.000 0.500 0.500
Nd 0.500 0.000 0.500
Ga 0.500 0.500 0.000
N 0.000 0.000 0.500
CELL_PARAMETERS angstrom
5.006 0.000 0.000
0.000 5.006 0.000
0.000 0.000 4.774
! ΔE_f (raw) ... -0.7956 eV per atom
! ρ ... 7.11 Mg/m³
! Energy ... -6.160 eV/atom


[5]
! CeNd2GaN4 PBE-GGA optimized geometry; values from VASP
&SYSTEM
  ibrav = 0, nat = 16, ntyp = 4
/
ATOMIC_SPECIES
Ce 140.12 Ce.upf
Nd 144.24 Nd.upf
Ga 69.72 Ga.upf
N 14.01 N.upf
ATOMIC_POSITIONS crystal
Ce 0.107 0.893 0.750
Ce 0.893 0.107 0.250
Nd 0.369 0.631 0.545
Nd 0.369 0.631 0.955
Nd 0.631 0.369 0.045
Nd 0.631 0.369 0.455
Ga 0.164 0.836 0.250
Ga 0.836 0.164 0.750
N 0.000 0.000 0.000
N 0.000 0.000 0.500
N 0.274 0.726 0.132
N 0.274 0.726 0.368
N 0.438 0.562 0.750
N 0.562 0.438 0.250
N 0.726 0.274 0.632
N 0.726 0.274 0.868
CELL_PARAMETERS angstrom
1.753 -5.902 0.000
1.753 5.902 0.000
0.000 0.000 12.243
! ΔE_f (raw) ... -0.9988 eV per atom
! ρ ... 7.27 Mg/m³
! Energy ... -7.474 eV/atom


[6]
! CeGaNi2N PBE-GGA optimized geometry; values from VASP
&SYSTEM
  ibrav = 0, nat = 10, ntyp = 4
/
ATOMIC_SPECIES
Ce 140.12 Ce.upf
Ga 69.72 Ga.upf
Ni 58.69 Ni.upf
N 14.01 N.upf
ATOMIC_POSITIONS crystal
Ce 0.033 0.967 0.750
Ce 0.967 0.033 0.250
Ga 0.236 0.764 0.250
Ga 0.764 0.236 0.750
Ni 0.337 0.663 0.548
Ni 0.337 0.663 0.952
Ni 0.663 0.337 0.048
Ni 0.663 0.337 0.452
N 0.500 0.500 0.000
N 0.500 0.500 0.500
CELL_PARAMETERS angstrom
1.737 -5.763 0.000
1.737 5.763 0.000
0.000 0.000 7.057
! ΔE_f (raw) ... -0.7296 eV per atom
! ρ ... 8.02 Mg/m³
! Energy ... -6.499 eV/atom


[7]
! CeGaNiN PBE-GGA optimized geometry; values from VASP
&SYSTEM
  ibrav = 0, nat = 8, ntyp = 4
/
ATOMIC_SPECIES
Ce 140.12 Ce.upf
Ga 69.72 Ga.upf
Ni 58.69 Ni.upf
N 14.01 N.upf
ATOMIC_POSITIONS crystal
Ce 0.250 0.250 0.142
Ce 0.750 0.750 0.858
Ga 0.250 0.250 0.663
Ga 0.750 0.750 0.337
Ni 0.250 0.750 0.500
Ni 0.750 0.250 0.500
N 0.250 0.250 0.887
N 0.750 0.750 0.113
CELL_PARAMETERS angstrom
3.695 0.000 0.000
0.000 3.695 0.000
0.000 0.000 8.987
! ΔE_f (raw) ... -0.8261 eV per atom
! ρ ... 7.65 Mg/m³
! Energy ... -6.593 eV/atom


[8]
! Ce2NpGaN5 PBE-GGA optimized geometry; values from VASP
&SYSTEM
  ibrav = 0, nat = 18, ntyp = 4
/
ATOMIC_SPECIES
Ce 140.12 Ce.upf
Np 237.00 Np.upf
Ga 69.72 Ga.upf
N 14.01 N.upf
ATOMIC_POSITIONS crystal
Ce 0.113 0.887 0.500
Ce 0.131 0.869 0.095
Ce 0.869 0.131 0.595
Ce 0.887 0.113 0.000
Np 0.208 0.792 0.809
Np 0.792 0.208 0.309
Ga 0.491 0.509 0.275
Ga 0.509 0.491 0.775
N 0.050 0.950 0.850
N 0.284 0.716 0.447
N 0.299 0.701 0.171
N 0.363 0.637 0.814
N 0.494 0.506 0.586
N 0.506 0.494 0.086
N 0.637 0.363 0.314
N 0.701 0.299 0.671
N 0.716 0.284 0.947
N 0.950 0.050 0.350
CELL_PARAMETERS angstrom
1.715 -6.934 0.000
1.715 6.934 0.000
0.000 0.000 10.351
! ΔE_f (raw) ... -1.0484 eV per atom
! ρ ... 8.86 Mg/m³
! Energy ... -8.766 eV/atom


[9]
! CePm2GaN4 PBE-GGA optimized geometry; values from VASP
&SYSTEM
  ibrav = 0, nat = 16, ntyp = 4
/
ATOMIC_SPECIES
Ce 140.12 Ce.upf
Pm 145.00 Pm.upf
Ga 69.72 Ga.upf
N 14.01 N.upf
ATOMIC_POSITIONS crystal
Ce 0.107 0.893 0.750
Ce 0.893 0.107 0.250
Pm 0.369 0.631 0.545
Pm 0.369 0.631 0.955
Pm 0.631 0.369 0.045
Pm 0.631 0.369 0.455
Ga 0.163 0.837 0.250
Ga 0.837 0.163 0.750
N 0.000 0.000 0.000
N 0.000 0.000 0.500
N 0.273 0.727 0.130
N 0.273 0.727 0.370
N 0.438 0.562 0.750
N 0.562 0.438 0.250
N 0.727 0.273 0.630
N 0.727 0.273 0.870
CELL_PARAMETERS angstrom
1.744 -5.873 0.000
1.744 5.873 0.000
0.000 0.000 12.137
! ΔE_f (raw) ... -1.0483 eV per atom
! ρ ... 7.42 Mg/m³
! Energy ... -7.519 eV/atom


[10]
! CePm2GaN PBE-GGA optimized geometry; values from VASP
&SYSTEM
  ibrav = 0, nat = 5, ntyp = 4
/
ATOMIC_SPECIES
Ce 140.12 Ce.upf
Pm 145.00 Pm.upf
Ga 69.72 Ga.upf
N 14.01 N.upf
ATOMIC_POSITIONS crystal
Ce 0.000 0.000 0.000
Pm 0.000 0.500 0.500
Pm 0.500 0.000 0.500
Ga 0.500 0.500 0.000
N 0.000 0.000 0.500
CELL_PARAMETERS angstrom
4.957 0.000 0.000
0.000 4.957 0.000
0.000 0.000 4.777
! ΔE_f (raw) ... -0.8204 eV per atom
! ρ ... 7.27 Mg/m³
! Energy ... -6.178 eV/atom


[11]
! Ce3Ga2Ru2N3 PBE-GGA optimized geometry; values from VASP
&SYSTEM
  ibrav = 0, nat = 10, ntyp = 4
/
ATOMIC_SPECIES
Ce 140.12 Ce.upf
Ga 69.72 Ga.upf
Ru 101.07 Ru.upf
N 14.01 N.upf
ATOMIC_POSITIONS crystal
Ce 0.000 0.000 0.000
Ce 0.395 0.395 0.000
Ce 0.605 0.605 0.000
Ga 0.250 0.750 0.500
Ga 0.750 0.250 0.500
Ru 0.175 0.175 0.000
Ru 0.825 0.825 0.000
N 0.093 0.093 0.000
N 0.500 0.500 0.000
N 0.907 0.907 0.000
CELL_PARAMETERS angstrom
-1.795 1.795 12.500
1.795 -1.795 12.500
1.795 1.795 -12.500
! ΔE_f (raw) ... -0.8921 eV per atom
! ρ ... 8.29 Mg/m³
! Energy ... -7.630 eV/atom


[12]
! CeSm2GaN PBE-GGA optimized geometry; values from VASP
&SYSTEM
  ibrav = 0, nat = 5, ntyp = 4
/
ATOMIC_SPECIES
Ce 140.12 Ce.upf
Sm 150.36 Sm.upf
Ga 69.72 Ga.upf
N 14.01 N.upf
ATOMIC_POSITIONS crystal
Ce 0.000 0.000 0.000
Sm 0.000 0.500 0.500
Sm 0.500 0.000 0.500
Ga 0.500 0.500 0.000
N 0.000 0.000 0.500
CELL_PARAMETERS angstrom
4.924 0.000 0.000
0.000 4.924 0.000
0.000 0.000 4.779
! ΔE_f (raw) ... -0.8311 eV per atom
! ρ ... 7.52 Mg/m³
! Energy ... -6.176 eV/atom


What did the twelfth record say?
! CeSm2GaN PBE-GGA optimized geometry; values from VASP
&SYSTEM
  ibrav = 0, nat = 5, ntyp = 4
/
ATOMIC_SPECIES
Ce 140.12 Ce.upf
Sm 150.36 Sm.upf
Ga 69.72 Ga.upf
N 14.01 N.upf
ATOMIC_POSITIONS crystal
Ce 0.000 0.000 0.000
Sm 0.000 0.500 0.500
Sm 0.500 0.000 0.500
Ga 0.500 0.500 0.000
N 0.000 0.000 0.500
CELL_PARAMETERS angstrom
4.924 0.000 0.000
0.000 4.924 0.000
0.000 0.000 4.779
! ΔE_f (raw) ... -0.8311 eV per atom
! ρ ... 7.52 Mg/m³
! Energy ... -6.176 eV/atom


Which of these has the highest ρ? Ce2NpGaN5